First-principles (PBE-GGA) data for HfV3Au after structural relaxation, as listed in the Alexandria database.

crystal system = cubic
total magnetic moment = 4.71 μB/cell
offset from the most stable computed form = 0 meV per atom
symmetry = No. 221

The structure in CIF format:
```
data_HfV3Au
_chemical_formula_sum 'Hf1 V3 Au1'
_cell_length_a 4.7477
_cell_length_b 4.7477
_cell_length_c 4.7477
_cell_angle_alpha 90.00
_cell_angle_beta 90.00
_cell_angle_gamma 90.00
_space_group_name_H-M_alt 'P 1'
_space_group_IT_number 1
_space_group_name_Hall 'P 1'
loop_
_atom_site_label
_atom_site_type_symbol
_atom_site_fract_x
_atom_site_fract_y
_atom_site_fract_z
_atom_site_occupancy
Hf1 Hf 0.0000 0.0000 0.0000 1
V1 V 0.0000 0.5000 0.5000 1
V2 V 0.5000 0.0000 0.5000 1
V3 V 0.5000 0.5000 0.0000 1
Au1 Au 0.5000 0.5000 0.5000 1
```

=====

First-principles (PBE-GGA) data for As2PdRh after structural relaxation, as listed in the Alexandria database.

crystal system = cubic
total magnetic moment = 0.00 μB/cell
offset from the most stable computed form = 0 meV per atom
symmetry = No. 225

The structure in CIF format:
```
data_As2PdRh
_chemical_formula_sum 'As8 Pd4 Rh4'
_cell_length_a 6.3302
_cell_length_b 6.3302
_cell_length_c 6.3302
_cell_angle_alpha 90.00
_cell_angle_beta 90.00
_cell_angle_gamma 90.00
_space_group_name_H-M_alt 'P 1'
_space_group_IT_number 1
_space_group_name_Hall 'P 1'
loop_
_atom_site_label
_atom_site_type_symbol
_atom_site_fract_x
_atom_site_fract_y
_atom_site_fract_z
_atom_site_occupancy
As1 As 0.2500 0.2500 0.2500 1
As2 As 0.2500 0.2500 0.7500 1
As3 As 0.2500 0.7500 0.2500 1
As4 As 0.2500 0.7500 0.7500 1
As5 As 0.7500 0.2500 0.2500 1
As6 As 0.7500 0.2500 0.7500 1
As7 As 0.7500 0.7500 0.2500 1
As8 As 0.7500 0.7500 0.7500 1
Pd1 Pd 0.0000 0.0000 0.0000 1
Pd2 Pd 0.0000 0.5000 0.5000 1
Pd3 Pd 0.5000 0.0000 0.5000 1
Pd4 Pd 0.5000 0.5000 0.0000 1
Rh1 Rh 0.0000 0.0000 0.5000 1
Rh2 Rh 0.0000 0.5000 0.0000 1
Rh3 Rh 0.5000 0.0000 0.0000 1
Rh4 Rh 0.5000 0.5000 0.5000 1
```

=====

First-principles (PBE-GGA) data for HfNb2SnHg after structural relaxation, as listed in the Alexandria database.

crystal system = tetragonal
final energy = -26.4 eV for the cell shown
total magnetic moment = 0.00 μB/cell
symmetry = No. 123

The structure in CIF format:
```
data_HfNb2SnHg
_chemical_formula_sum 'Hf1 Nb2 Sn1 Hg1'
_cell_length_a 5.1161
_cell_length_b 5.1161
_cell_length_c 5.0338
_cell_angle_alpha 90.00
_cell_angle_beta 90.00
_cell_angle_gamma 90.00
_space_group_name_H-M_alt 'P 1'
_space_group_IT_number 1
_space_group_name_Hall 'P 1'
loop_
_atom_site_label
_atom_site_type_symbol
_atom_site_fract_x
_atom_site_fract_y
_atom_site_fract_z
_atom_site_occupancy
Hf1 Hf 0.0000 0.0000 0.0000 1
Nb1 Nb 0.0000 0.5000 0.5000 1
Nb2 Nb 0.5000 0.0000 0.5000 1
Sn1 Sn 0.5000 0.5000 0.0000 1
Hg1 Hg 0.5000 0.5000 0.5000 1
```

=====

First-principles (PBE-GGA) data for Li12Zn6Ir after structural relaxation, as listed in the Alexandria database.

crystal system = trigonal
final energy = -42.4 eV for the cell shown
total magnetic moment = 0.00 μB/cell
symmetry = No. 148

The structure in CIF format:
```
data_Li12Zn6Ir
_chemical_formula_sum 'Li12 Zn6 Ir1'
_cell_length_a 6.7899
_cell_length_b 6.7899
_cell_length_c 6.7899
_cell_angle_alpha 88.81
_cell_angle_beta 88.81
_cell_angle_gamma 88.81
_space_group_name_H-M_alt 'P 1'
_space_group_IT_number 1
_space_group_name_Hall 'P 1'
loop_
_atom_site_label
_atom_site_type_symbol
_atom_site_fract_x
_atom_site_fract_y
_atom_site_fract_z
_atom_site_occupancy
Li1 Li 0.0253 0.3071 0.9310 1
Li2 Li 0.0690 0.9747 0.6929 1
Li3 Li 0.1307 0.3523 0.4644 1
Li4 Li 0.3071 0.9310 0.0253 1
Li5 Li 0.3523 0.4644 0.1307 1
Li6 Li 0.4644 0.1307 0.3523 1
Li7 Li 0.5356 0.8693 0.6477 1
Li8 Li 0.6477 0.5356 0.8693 1
Li9 Li 0.6929 0.0690 0.9747 1
Li10 Li 0.8693 0.6477 0.5356 1
Li11 Li 0.9310 0.0253 0.3071 1
Li12 Li 0.9747 0.6929 0.0690 1
Zn1 Zn 0.2382 0.6092 0.7606 1
Zn2 Zn 0.2394 0.7618 0.3908 1
Zn3 Zn 0.3908 0.2394 0.7618 1
Zn4 Zn 0.6092 0.7606 0.2382 1
Zn5 Zn 0.7606 0.2382 0.6092 1
Zn6 Zn 0.7618 0.3908 0.2394 1
Ir1 Ir 0.5000 0.5000 0.5000 1
```